1.
Material: ScFePb2
Method: DFT, PBE
State: relaxed

DOS at the Fermi energy ... 0.84 states/eV/atom
Crystal system ... tetragonal
Calculated formation energy ... 3.2 kcal/mol of atoms

Lattice parameters (Å, degrees): 4.5839 4.5839 4.2298 90.00 90.00 89.98
Closest atoms and distances in Å follow each position.
Atoms (fractional coordinates):
Fe (0.0000, 0.5000, 0.5000)  8 Pb 3.12, 4 Sc 3.24
Pb (0.0000, 0.0000, 0.0000)  4 Fe 3.12, 4 Sc 3.12, 4 Pb 3.24
Pb (0.5000, 0.5000, 0.0000)  4 Sc 3.12, 4 Fe 3.12, 4 Pb 3.24
Sc (0.5000, 0.0000, 0.5000)  8 Pb 3.12, 4 Fe 3.24

---

2.
Material: ScFePb2
Method: DFT, PBE
State: relaxed

DOS at the Fermi energy ... 1.18 states/eV/atom
Crystal system ... orthorhombic
Calculated formation energy ... 5.0 kcal/mol of atoms

Lattice parameters (Å, degrees): 3.3972 3.3972 7.5047 90.00 90.00 90.31
Closest atoms and distances in Å follow each position.
Atoms (fractional coordinates):
Fe (0.5000, 0.5000, 0.7500)  8 Pb 2.91-2.92
Pb (0.0000, 0.0000, 0.9702)  4 Fe 2.91-2.92, 4 Sc 3.19-3.20
Pb (0.0000, 0.0000, 0.5298)  4 Fe 2.91-2.92, 4 Sc 3.19-3.20
Sc (0.5000, 0.5000, 0.2500)  8 Pb 3.19-3.20, 4 Sc 3.40

---

3.
Material: ScFeSi2Pb
Method: DFT, PBE
State: relaxed

DOS at the Fermi energy ... 1.27 states/eV/atom
Crystal system ... tetragonal
Uncorrected formation energy ... 1218 meV per atom

Lattice parameters (Å, degrees): 4.9913 5.5444 4.9913 90.00 90.00 90.00
Closest atoms and distances in Å follow each position.
Atoms (fractional coordinates):
Pb (0.0000, 0.5000, 0.0000)  2 Sc 2.77
Sc (0.0000, 0.0000, 0.0000)  4 Si 2.50, 2 Pb 2.77
Si (0.0000, 0.0000, 0.5000)  2 Sc 2.50
Si (0.5000, 0.0000, 0.0000)  2 Sc 2.50
Fe (0.5000, 0.5000, 0.5000)  4 Pb 3.53, 8 Si 3.73

---

4.
Material: Sc2ZnFePb
Method: DFT, PBE
State: relaxed

DOS at the Fermi energy ... 2.22 states/eV/atom
Crystal system ... tetragonal
Calculated formation energy ... 17.4 kcal/mol of atoms

Lattice parameters (Å, degrees): 5.0482 4.9894 5.0482 90.00 90.00 90.00
Closest atoms and distances in Å follow each position.
Atoms (fractional coordinates):
Pb (0.0000, 0.5000, 0.0000)  2 Zn 2.49
Sc (0.0000, 0.0000, 0.5000)  2 Zn 2.52
Sc (0.5000, 0.0000, 0.0000)  2 Zn 2.52
Zn (0.0000, 0.0000, 0.0000)  2 Pb 2.49, 4 Sc 2.52
Fe (0.5000, 0.5000, 0.5000)  8 Sc 3.55, 4 Pb 3.57

---

5.
Material: Sc2ZnFePb
Method: DFT, PBE
State: relaxed

DOS at the Fermi energy ... 0.80 states/eV/atom
Crystal system ... tetragonal
Calculated formation energy ... 0.7 kcal/mol of atoms

Lattice parameters (Å, degrees): 4.7427 4.7227 4.7427 90.00 90.00 90.00
Closest atoms and distances in Å follow each position.
Atoms (fractional coordinates):
Pb (0.5000, 0.5000, 0.5000)  8 Sc 3.35, 4 Zn 3.35
Sc (0.0000, 0.0000, 0.5000)  2 Fe 2.37
Sc (0.5000, 0.0000, 0.0000)  2 Fe 2.37
Zn (0.0000, 0.5000, 0.0000)  2 Fe 2.36
Fe (0.0000, 0.0000, 0.0000)  2 Zn 2.36, 4 Sc 2.37

---

6.
Material: FePb2Se
Method: DFT, PBE
State: relaxed

DOS at the Fermi energy ... 0.89 states/eV/atom
Crystal system ... orthorhombic
Uncorrected formation energy ... 167 meV per atom

Lattice parameters (Å, degrees): 6.2585 6.2585 6.2585 149.87 125.65 63.41
Closest atoms and distances in Å follow each position.
Atoms (fractional coordinates):
Fe (0.2677, 0.7677, 0.5000)  2 Se 2.37
Pb (0.0469, 0.0469, 0.0000)  2 Fe 2.86
Pb (0.7563, 0.2563, 0.5000)  6 Pb 3.25-3.63, 4 Fe 3.29, 2 Se 3.40
Se (0.4292, 0.4292, 0.0000)  2 Fe 2.37

---

7.
Material: FePb2Se
Method: DFT, PBE
State: relaxed

DOS at the Fermi energy ... 1.08 states/eV/atom
Crystal system ... tetragonal
Uncorrected formation energy ... 438 meV per atom

Lattice parameters (Å, degrees): 5.6523 5.6523 5.6523 132.23 132.23 69.86
Closest atoms and distances in Å follow each position.
Atoms (fractional coordinates):
Fe (0.7500, 0.2500, 0.5000)  4 Se 3.24, 8 Pb 3.26
Pb (0.0000, 0.0000, 0.0000)  4 Pb 3.24, 4 Fe 3.26, 4 Se 3.26
Pb (0.5000, 0.5000, 0.0000)  4 Pb 3.24, 4 Fe 3.26, 4 Se 3.26
Se (0.2500, 0.7500, 0.5000)  4 Fe 3.24, 8 Pb 3.26

---

8.
Material: FePbSe
Method: DFT, PBE
State: relaxed

DOS at the Fermi energy ... 0.97 states/eV/atom
Crystal system ... tetragonal
Uncorrected formation energy ... 101 meV per atom

Lattice parameters (Å, degrees): 6.7824 6.7824 6.7824 153.16 153.16 38.32
Closest atoms and distances in Å follow each position.
Atoms (fractional coordinates):
Fe (0.0288, 0.0288, 0.0000)  4 Se 2.46
Pb (0.3606, 0.3606, 0.0000)  4 Fe 3.10, 4 Pb 3.15, 1 Se 3.20
Se (0.6106, 0.6106, 0.0000)  4 Fe 2.46

---

9.
Material: FePbSe
Method: DFT, PBE
State: relaxed

DOS at the Fermi energy ... 0.75 states/eV/atom
Crystal system ... trigonal
Uncorrected formation energy ... 66 meV per atom

Lattice parameters (Å, degrees): 3.3605 3.3605 6.8016 90.00 90.00 120.00
Closest atoms and distances in Å follow each position.
Atoms (fractional coordinates):
Fe (0.0000, 0.0000, 0.9527)  3 Se 2.32
Pb (0.6667, 0.3333, 0.2823)  3 Fe 2.96
Se (0.3333, 0.6667, 0.7650)  3 Fe 2.32

---

10.
Material: FePb2Se
Method: DFT, PBE
State: relaxed

DOS at the Fermi energy ... 1.30 states/eV/atom
Crystal system ... cubic
Uncorrected formation energy ... 529 meV per atom

Lattice parameters (Å, degrees): 5.1713 5.1713 5.1713 60.00 60.00 60.00
Closest atoms and distances in Å follow each position.
Atoms (fractional coordinates):
Fe (0.5000, 0.5000, 0.5000)  4 Se 3.17, 4 Pb 3.17
Pb (0.0000, 0.0000, 0.0000)  4 Pb 3.17, 4 Se 3.17
Pb (0.7500, 0.7500, 0.7500)  4 Pb 3.17, 4 Fe 3.17
Se (0.2500, 0.2500, 0.2500)  4 Pb 3.17, 4 Fe 3.17

---

11.
Material: Fe2PbSe
Method: DFT, PBE
State: relaxed

DOS at the Fermi energy ... 1.06 states/eV/atom
Crystal system ... monoclinic
Uncorrected formation energy ... 579 meV per atom

Lattice parameters (Å, degrees): 5.2776 5.2776 3.6350 70.53 70.53 110.51
Closest atoms and distances in Å follow each position.
Atoms (fractional coordinates):
Fe (0.0000, 0.0000, 0.0000)  2 Pb 2.66, 2 Se 2.66
Fe (0.5000, 0.5000, 0.0000)  2 Se 2.66, 2 Pb 2.66
Pb (0.5000, 0.0000, 0.5000)  4 Fe 2.66
Se (0.0000, 0.5000, 0.5000)  4 Fe 2.66

---

12.
Material: Fe3PbSe
Method: DFT, PBE
State: relaxed

DOS at the Fermi energy ... 3.57 states/eV/atom
Crystal system ... cubic
Uncorrected formation energy ... 1620 meV per atom

Lattice parameters (Å, degrees): 4.9780 4.9780 4.9780 90.00 90.00 90.00
Closest atoms and distances in Å follow each position.
Atoms (fractional coordinates):
Pb (0.0000, 0.0000, 0.0000)  6 Fe 2.49
Fe (0.0000, 0.5000, 0.0000)  2 Pb 2.49
Fe (0.0000, 0.0000, 0.5000)  2 Pb 2.49
Fe (0.5000, 0.0000, 0.0000)  2 Pb 2.49
Se (0.5000, 0.5000, 0.5000)  12 Fe 3.52

---

13.
Material: Fe2PbSe
Method: DFT, PBE
State: relaxed

DOS at the Fermi energy ... 1.15 states/eV/atom
Crystal system ... orthorhombic
Uncorrected formation energy ... 557 meV per atom

Lattice parameters (Å, degrees): 3.4952 5.1463 4.1098 90.00 90.00 90.00
Closest atoms and distances in Å follow each position.
Atoms (fractional coordinates):
Fe (0.0000, 0.0000, 0.0000)  4 Pb 2.70
Fe (0.5000, 0.5000, 0.0000)  4 Se 2.70
Pb (0.5000, 0.0000, 0.5000)  4 Fe 2.70
Se (0.0000, 0.5000, 0.5000)  4 Fe 2.70

---

14.
Material: Fe2PbSe
Method: DFT, PBE
State: relaxed

DOS at the Fermi energy ... 1.99 states/eV/atom
Crystal system ... cubic
Uncorrected formation energy ... 767 meV per atom

Lattice parameters (Å, degrees): 4.4612 4.4612 4.4612 60.00 60.00 60.00
Closest atoms and distances in Å follow each position.
Atoms (fractional coordinates):
Pb (0.5000, 0.5000, 0.5000)  8 Fe 2.73
Fe (0.2500, 0.2500, 0.2500)  4 Pb 2.73, 4 Se 2.73
Fe (0.7500, 0.7500, 0.7500)  4 Pb 2.73, 4 Se 2.73
Se (0.0000, 0.0000, 0.0000)  8 Fe 2.73

---

15.
Material: Fe3PbSe
Method: DFT, PBE
State: relaxed

DOS at the Fermi energy ... 0.56 states/eV/atom
Crystal system ... cubic
Uncorrected formation energy ... 573 meV per atom

Lattice parameters (Å, degrees): 4.4743 4.4743 4.4743 90.00 90.00 90.00
Closest atoms and distances in Å follow each position.
Atoms (fractional coordinates):
Pb (0.5000, 0.5000, 0.5000)  12 Fe 3.16
Fe (0.0000, 0.5000, 0.0000)  2 Se 2.24
Fe (0.0000, 0.0000, 0.5000)  2 Se 2.24
Fe (0.5000, 0.0000, 0.0000)  2 Se 2.24
Se (0.0000, 0.0000, 0.0000)  6 Fe 2.24

---

16.
Material: Fe2PbSe
Method: DFT, PBE
State: relaxed

DOS at the Fermi energy ... 0.60 states/eV/atom
Crystal system ... orthorhombic
Uncorrected formation energy ... 457 meV per atom

Lattice parameters (Å, degrees): 4.7906 4.7906 4.7906 130.07 112.78 88.23
Closest atoms and distances in Å follow each position.
Atoms (fractional coordinates):
Fe (0.0589, 0.0589, 0.0000)  2 Se 2.41, 1 Fe 2.63
Fe (0.4411, 0.4411, 0.0000)  2 Se 2.41, 1 Fe 2.63
Pb (0.7500, 0.2500, 0.5000)  8 Fe 2.93-2.96
Se (0.2500, 0.7500, 0.5000)  4 Fe 2.41

---

17.
Material: FePb2Se
Method: DFT, PBE
State: relaxed

DOS at the Fermi energy ... 1.12 states/eV/atom
Crystal system ... tetragonal
Uncorrected formation energy ... 348 meV per atom

Lattice parameters (Å, degrees): 3.6814 3.6820 6.9236 90.00 90.00 90.00
Closest atoms and distances in Å follow each position.
Atoms (fractional coordinates):
Fe (0.5000, 0.5000, 0.7500)  8 Pb 3.06
Pb (0.0000, 0.0000, 0.9819)  4 Fe 3.06, 4 Se 3.20, 1 Pb 3.21
Pb (0.0000, 0.0000, 0.5181)  4 Fe 3.06, 4 Se 3.20, 1 Pb 3.21
Se (0.5000, 0.5000, 0.2500)  8 Pb 3.20, 2 Fe 3.46

---

18.
Material: FePbSe2
Method: DFT, PBE
State: relaxed

DOS at the Fermi energy ... 0.77 states/eV/atom
Crystal system ... tetragonal
Uncorrected formation energy ... -75 meV per atom

Lattice parameters (Å, degrees): 3.6368 3.6368 7.6691 90.00 90.00 90.00
Closest atoms and distances in Å follow each position.
Atoms (fractional coordinates):
Fe (0.0000, 0.0000, 0.3129)  5 Se 2.41-2.63
Pb (0.5000, 0.5000, 0.8045)  5 Se 2.97-3.22
Se (0.0000, 0.0000, 0.9984)  1 Fe 2.41
Se (0.5000, 0.5000, 0.3842)  4 Fe 2.63

---

19.
Material: FePbSe2
Method: DFT, PBE
State: relaxed

DOS at the Fermi energy ... 0.86 states/eV/atom
Crystal system ... orthorhombic
Uncorrected formation energy ... -109 meV per atom

Lattice parameters (Å, degrees): 5.9528 5.9528 5.9528 145.89 123.58 67.60
Closest atoms and distances in Å follow each position.
Atoms (fractional coordinates):
Fe (0.7500, 0.2500, 0.5000)  4 Se 2.39
Pb (0.2500, 0.7500, 0.5000)  4 Se 3.25, 4 Fe 3.31, 2 Pb 3.49
Se (0.9151, 0.9151, 0.0000)  2 Fe 2.39
Se (0.5849, 0.5849, 0.0000)  2 Fe 2.39

---

20.
Material: FePbSe2
Method: DFT, PBE
State: relaxed

DOS at the Fermi energy ... 1.26 states/eV/atom
Crystal system ... trigonal
Uncorrected formation energy ... -214 meV per atom

Lattice parameters (Å, degrees): 8.9837 8.9837 8.9837 22.51 22.51 22.51
Closest atoms and distances in Å follow each position.
Atoms (fractional coordinates):
Pb (0.0000, 0.0000, 0.0000)  2 Se 3.08
Fe (0.5000, 0.5000, 0.5000)  6 Se 2.41
Se (0.8828, 0.8828, 0.8828)  3 Fe 2.41
Se (0.1172, 0.1172, 0.1172)  3 Fe 2.41

---

One value per record, in order, for energy: -21.6; -21.3; -23.3; -22.3; -26.0; -18.7; -17.6; -15.4; -15.5; -17.2; -21.8; -24.5; -21.9; -21.1; -29.7; -22.3; -18.0; -19.4; -19.6; -20.0 eV per cell.